Entry 1:
The following is a DFT calculation (PBE-GGA) of a relaxed Mg2Si2Ag crystal.

Results
Calculated volume ... 18.8 Å³ per atom
Crystal system ... tetragonal
DOS(E_F) ... 0.333 states/eV per atom
Energy above the most stable polymorph in this dataset ... 0.232 eV/atom

Geometry as POSCAR:
```
Mg2Si2Ag
1.0
8.1494 0.0000 0.0000
0.0000 8.1494 0.0000
0.0000 0.0000 2.8334
Ag Mg Si
2 4 4
Cartesian
0.0000 0.0000 0.0000
4.0747 4.0747 0.0000
1.0893 2.9854 0.0000
2.9854 7.0601 0.0000
5.1640 1.0893 0.0000
7.0601 5.1640 0.0000
5.4348 6.7892 1.4167
1.3602 5.4348 1.4167
6.7892 2.7145 1.4167
2.7145 1.3602 1.4167
```

---

Entry 2:
The following is a DFT calculation (PBE-GGA) of a relaxed MgSiAg2 crystal.

Results
Calculated volume ... 17.8 Å³ per atom
Crystal system ... monoclinic
DOS(E_F) ... 0.236 states/eV per atom
Energy above the most stable polymorph in this dataset ... 0.031 eV/atom

Geometry as POSCAR:
```
MgSiAg2
1.0
-1.6120 -4.0394 -0.9202
1.4489 -1.1110 2.3388
-3.8439 0.6562 3.8537
Ag Si Mg
2 1 1
Cartesian
-2.5898 -0.2932 5.8243
-1.0027 -0.3890 3.4645
-2.6023 -2.3608 4.1843
-1.4048 -2.1334 1.0881
```

---

Entry 3:
The following is a DFT calculation (PBE-GGA) of a relaxed MgSiAg2 crystal.

Results
Calculated volume ... 17.5 Å³ per atom
Crystal system ... tetragonal
DOS(E_F) ... 0.207 states/eV per atom
Energy above the most stable polymorph in this dataset ... 0.043 eV/atom

Geometry as POSCAR:
```
MgSiAg2
1.0
-2.1199 -2.6406 0.4972
2.1592 -2.0510 -1.6869
2.7922 -1.2764 5.1259
Ag Si Mg
2 1 1
Cartesian
1.4108 -0.6449 2.5899
2.7776 -1.2697 5.0990
2.1138 -3.3032 3.2496
0.7177 -2.6650 0.6867
```